1.
A geometry-optimized In5Ir structure, computed with PBE.

Properties
**Final energy**: -18.47 eV/cell
**Excess energy over the best structure of this formula in the dataset**: 4.61 eV per formula unit

Unit cell a=5.586 b=5.586 c=5.828 alpha=90.00 beta=90.00 gamma=120.00
Atoms (fractional coordinates):
In: 0.000 0.500 0.000
In: 0.333 0.667 0.500
In: 0.500 0.000 0.000
In: 0.500 0.500 0.000
In: 0.667 0.333 0.500
Ir: 0.000 0.000 0.500

---

2.
A geometry-optimized In5Ir structure, computed with PBE.

Properties
**Final energy**: -22.58 eV/cell
**Excess energy over the best structure of this formula in the dataset**: 0.49 eV per formula unit

Unit cell a=7.019 b=7.019 c=9.727 alpha=132.73 beta=132.73 gamma=25.08
Atoms (fractional coordinates):
In: 0.000 0.000 0.000
In: 0.284 0.284 0.394
In: 0.391 0.391 0.173
In: 0.609 0.609 0.827
In: 0.716 0.716 0.606
Ir: 0.000 0.000 0.500

---

3.
A geometry-optimized In5Ir2 structure, computed with PBE.

Properties
**Final energy**: -64.95 eV/cell

Unit cell a=7.671 b=7.671 c=7.940 alpha=101.88 beta=101.88 gamma=40.55
Atoms (fractional coordinates):
In: 0.142 0.309 0.338
In: 0.149 0.851 0.750
In: 0.262 0.571 0.074
In: 0.309 0.142 0.838
In: 0.429 0.738 0.426
In: 0.571 0.262 0.574
In: 0.691 0.858 0.162
In: 0.738 0.429 0.926
In: 0.851 0.149 0.250
In: 0.858 0.691 0.662
Ir: 0.054 0.730 0.425
Ir: 0.270 0.946 0.075
Ir: 0.730 0.054 0.925
Ir: 0.946 0.270 0.575

---

4.
A geometry-optimized In5Ir structure, computed with PBE.

Properties
**Final energy**: -22.40 eV/cell
**Excess energy over the best structure of this formula in the dataset**: 0.68 eV per formula unit

Unit cell a=3.166 b=3.166 c=14.181 alpha=90.00 beta=90.00 gamma=90.00
Atoms (fractional coordinates):
In: 0.000 0.000 0.000
In: 0.000 0.000 0.377
In: 0.000 0.000 0.623
In: 0.500 0.500 0.191
In: 0.500 0.500 0.809
Ir: 0.500 0.500 0.500

---

5.
A geometry-optimized In5Ir structure, computed with PBE.

Properties
**Final energy**: -46.15 eV/cell
**Excess energy over the best structure of this formula in the dataset**: 0.00 eV per formula unit

Unit cell a=8.993 b=4.195 c=7.456 alpha=90.00 beta=90.00 gamma=90.00
Atoms (fractional coordinates):
In: 0.000 0.000 0.000
In: 0.061 0.500 0.316
In: 0.250 0.000 0.574
In: 0.250 0.500 0.912
In: 0.439 0.500 0.316
In: 0.500 0.000 0.000
In: 0.561 0.500 0.684
In: 0.750 0.000 0.426
In: 0.750 0.500 0.088
In: 0.939 0.500 0.684
Ir: 0.250 0.000 0.198
Ir: 0.750 0.000 0.802

---

6.
A geometry-optimized In5Ir structure, computed with PBE.

Properties
**Final energy**: -21.55 eV/cell
**Excess energy over the best structure of this formula in the dataset**: 1.53 eV per formula unit

Unit cell a=7.019 b=7.019 c=4.716 alpha=90.00 beta=90.00 gamma=143.83
Atoms (fractional coordinates):
In: 0.000 0.000 0.000
In: 0.148 0.852 0.500
In: 0.341 0.659 0.000
In: 0.659 0.341 0.000
In: 0.852 0.148 0.500
Ir: 0.500 0.500 0.500

---

7.
A geometry-optimized In7Ir3 structure, computed with PBE.

Properties
**Final energy**: -94.51 eV/cell

Unit cell a=8.247 b=8.247 c=8.247 alpha=109.47 beta=109.47 gamma=109.47
Atoms (fractional coordinates):
In: 0.000 0.000 0.319
In: 0.000 0.000 0.681
In: 0.000 0.319 0.000
In: 0.000 0.681 0.000
In: 0.250 0.500 0.750
In: 0.250 0.750 0.500
In: 0.319 0.000 0.000
In: 0.319 0.319 0.319
In: 0.500 0.250 0.750
In: 0.500 0.750 0.250
In: 0.681 0.000 0.000
In: 0.681 0.681 0.681
In: 0.750 0.250 0.500
In: 0.750 0.500 0.250
Ir: 0.000 0.347 0.347
Ir: 0.000 0.653 0.653
Ir: 0.347 0.000 0.347
Ir: 0.347 0.347 0.000
Ir: 0.653 0.000 0.653
Ir: 0.653 0.653 0.000

---

8.
A geometry-optimized In5Ir3 structure, computed with PBE.

Properties
**Final energy**: -39.44 eV/cell

Unit cell a=5.766 b=5.766 c=4.511 alpha=90.00 beta=90.00 gamma=92.31
Atoms (fractional coordinates):
In: 0.000 0.000 0.000
In: 0.000 0.500 0.000
In: 0.301 0.699 0.500
In: 0.500 0.000 0.000
In: 0.699 0.301 0.500
Ir: 0.198 0.198 0.500
Ir: 0.500 0.500 0.000
Ir: 0.802 0.802 0.500

---

9.
A geometry-optimized KIn2Ir structure, computed with PBE.

Properties
**Final energy**: -13.24 eV/cell
**Excess energy over the best structure of this formula in the dataset**: 2.25 eV per formula unit

Unit cell a=3.394 b=4.963 c=5.487 alpha=90.00 beta=90.00 gamma=90.00
Atoms (fractional coordinates):
K: 0.000 0.000 0.000
In: 0.000 0.500 0.500
In: 0.500 0.500 0.000
Ir: 0.500 0.000 0.500

---

10.
A geometry-optimized KIn2Ir structure, computed with PBE.

Properties
**Final energy**: -15.16 eV/cell
**Excess energy over the best structure of this formula in the dataset**: 0.32 eV per formula unit

Unit cell a=4.407 b=4.407 c=8.245 alpha=95.97 beta=95.97 gamma=42.12
Atoms (fractional coordinates):
K: 0.000 0.000 0.000
In: 0.232 0.232 0.675
In: 0.768 0.768 0.325
Ir: 0.500 0.500 0.500

---

11.
A geometry-optimized KIn3Ir structure, computed with PBE.

Properties
**Final energy**: -37.31 eV/cell
**Excess energy over the best structure of this formula in the dataset**: 0.31 eV per formula unit

Unit cell a=6.992 b=7.028 c=7.401 alpha=103.46 beta=104.33 gamma=119.46
Atoms (fractional coordinates):
K: 0.148 0.143 0.285
K: 0.852 0.857 0.715
In: 0.000 0.500 0.000
In: 0.240 0.742 0.501
In: 0.465 0.326 0.796
In: 0.500 0.000 0.000
In: 0.535 0.674 0.204
In: 0.760 0.258 0.499
Ir: 0.241 0.538 0.777
Ir: 0.759 0.462 0.223

---

12.
A geometry-optimized KIn2Ir structure, computed with PBE.

Properties
**Final energy**: -29.25 eV/cell
**Excess energy over the best structure of this formula in the dataset**: 0.86 eV per formula unit

Unit cell a=8.187 b=8.187 c=8.187 alpha=60.00 beta=60.00 gamma=60.00
Atoms (fractional coordinates):
K: 0.125 0.125 0.125
K: 0.875 0.875 0.875
In: 0.000 0.500 0.500
In: 0.500 0.000 0.500
In: 0.500 0.500 0.000
In: 0.500 0.500 0.500
Ir: 0.375 0.375 0.375
Ir: 0.625 0.625 0.625

---

13.
A geometry-optimized K2InIr structure, computed with PBE.

Properties
**Final energy**: -13.16 eV/cell

Unit cell a=4.595 b=4.595 c=8.969 alpha=104.15 beta=104.15 gamma=59.65
Atoms (fractional coordinates):
K: 0.000 0.000 0.000
K: 0.169 0.169 0.533
In: 0.417 0.417 0.267
Ir: 0.750 0.750 0.267

---

14.
A geometry-optimized KIn2Ir structure, computed with PBE.

Properties
**Final energy**: -14.68 eV/cell
**Excess energy over the best structure of this formula in the dataset**: 0.81 eV per formula unit

Unit cell a=10.216 b=10.216 c=10.216 alpha=19.10 beta=19.10 gamma=19.10
Atoms (fractional coordinates):
K: 0.000 0.000 0.000
In: 0.232 0.232 0.232
In: 0.768 0.768 0.768
Ir: 0.500 0.500 0.500

---

15.
A geometry-optimized KIn3Ir structure, computed with PBE.

Properties
**Final energy**: -17.61 eV/cell
**Excess energy over the best structure of this formula in the dataset**: 1.35 eV per formula unit

Unit cell a=3.184 b=7.315 c=7.315 alpha=51.99 beta=90.00 gamma=90.00
Atoms (fractional coordinates):
K: 0.000 0.000 0.000
In: 0.000 0.401 0.401
In: 0.500 0.477 0.975
In: 0.500 0.975 0.477
Ir: 0.500 0.565 0.565

---

16.
A geometry-optimized KIn3Ir structure, computed with PBE.

Properties
**Final energy**: -73.36 eV/cell
**Excess energy over the best structure of this formula in the dataset**: 0.62 eV per formula unit

Unit cell a=10.183 b=10.183 c=10.183 alpha=60.00 beta=60.00 gamma=60.00
Atoms (fractional coordinates):
K: 0.000 0.000 0.000
K: 0.000 0.000 0.500
K: 0.000 0.500 0.000
K: 0.500 0.000 0.000
In: 0.206 0.206 0.544
In: 0.206 0.544 0.206
In: 0.206 0.544 0.544
In: 0.456 0.456 0.794
In: 0.456 0.794 0.456
In: 0.456 0.794 0.794
In: 0.544 0.206 0.206
In: 0.544 0.206 0.544
In: 0.544 0.544 0.206
In: 0.794 0.456 0.456
In: 0.794 0.456 0.794
In: 0.794 0.794 0.456
Ir: 0.000 0.500 0.500
Ir: 0.500 0.000 0.500
Ir: 0.500 0.500 0.000
Ir: 0.500 0.500 0.500

---

17.
A geometry-optimized KIn3Ir structure, computed with PBE.

Properties
**Final energy**: -36.09 eV/cell
**Excess energy over the best structure of this formula in the dataset**: 0.92 eV per formula unit

Unit cell a=5.041 b=5.041 c=10.528 alpha=90.00 beta=90.00 gamma=120.00
Atoms (fractional coordinates):
K: 0.333 0.667 0.250
K: 0.667 0.333 0.750
In: 0.000 0.000 0.250
In: 0.000 0.000 0.750
In: 0.333 0.667 0.573
In: 0.333 0.667 0.927
In: 0.667 0.333 0.073
In: 0.667 0.333 0.427
Ir: 0.000 0.000 0.000
Ir: 0.000 0.000 0.500

---

18.
A geometry-optimized KIn2Ir structure, computed with PBE.

Properties
**Final energy**: -13.24 eV/cell
**Excess energy over the best structure of this formula in the dataset**: 2.25 eV per formula unit

Unit cell a=5.470 b=5.470 c=3.174 alpha=90.00 beta=90.00 gamma=108.79
Atoms (fractional coordinates):
K: 0.000 0.000 0.000
In: 0.000 0.500 0.500
In: 0.500 0.000 0.500
Ir: 0.500 0.500 0.000

---

19.
A geometry-optimized KIn3Ir structure, computed with PBE.

Properties
**Final energy**: -33.56 eV/cell
**Excess energy over the best structure of this formula in the dataset**: 2.18 eV per formula unit

Unit cell a=10.795 b=10.795 c=5.665 alpha=90.00 beta=90.00 gamma=151.32
Atoms (fractional coordinates):
K: 0.205 0.795 0.750
K: 0.795 0.205 0.250
In: 0.000 0.000 0.000
In: 0.000 0.000 0.500
In: 0.129 0.377 0.750
In: 0.377 0.129 0.250
In: 0.623 0.871 0.750
In: 0.871 0.623 0.250
Ir: 0.489 0.511 0.750
Ir: 0.511 0.489 0.250

---

20.
A geometry-optimized KIn2Ir structure, computed with PBE.

Properties
**Final energy**: -14.50 eV/cell
**Excess energy over the best structure of this formula in the dataset**: 0.98 eV per formula unit

Unit cell a=5.906 b=5.906 c=5.906 alpha=141.32 beta=121.47 gamma=72.38
Atoms (fractional coordinates):
K: 0.000 0.000 0.000
In: 0.307 0.807 0.500
In: 0.693 0.193 0.500
Ir: 0.500 0.500 0.000